Entry 1:
# NaErTlAu, optimized geometry, DFT PBE
data_NaErTlAu
_cell_length_a 5.106
_cell_length_b 5.106
_cell_length_c 5.106
_cell_angle_alpha 60.00
_cell_angle_beta 60.00
_cell_angle_gamma 60.00
_symmetry_space_group_name_H-M 'P 1'
_symmetry_Int_Tables_number 1
_symmetry_space_group_name_Hall 'P 1'
loop_
_atom_site_label
_atom_site_fract_x
_atom_site_fract_y
_atom_site_fract_z
Na1 0.000 0.000 0.000
Er1 0.500 0.500 0.500
Tl1 0.750 0.750 0.750
Au1 0.250 0.250 0.250
# Energy of formation: -0.351 eV/atom
# Total moment: 0.0 μB/cell

Entry 2:
# RbScSn3, optimized geometry, DFT PBE
data_RbScSn3
_cell_length_a 5.792
_cell_length_b 5.792
_cell_length_c 5.792
_cell_angle_alpha 90.00
_cell_angle_beta 90.00
_cell_angle_gamma 90.00
_symmetry_space_group_name_H-M 'P 1'
_symmetry_Int_Tables_number 1
_symmetry_space_group_name_Hall 'P 1'
loop_
_atom_site_label
_atom_site_fract_x
_atom_site_fract_y
_atom_site_fract_z
Rb1 0.000 0.000 0.000
Sc1 0.500 0.500 0.500
Sn1 0.000 0.000 0.500
Sn2 0.000 0.500 0.000
Sn3 0.500 0.000 0.000
# Relative energy among the computed polymorphs: 1334 meV/atom
# Energy of formation: 1.291 eV/atom
# Total moment: 0.0 μB/cell

Entry 3:
# K2LiNdF6, optimized geometry, DFT PBE
data_K2LiNdF6
_cell_length_a 6.167
_cell_length_b 6.167
_cell_length_c 6.167
_cell_angle_alpha 60.00
_cell_angle_beta 60.00
_cell_angle_gamma 60.00
_symmetry_space_group_name_H-M 'P 1'
_symmetry_Int_Tables_number 1
_symmetry_space_group_name_Hall 'P 1'
loop_
_atom_site_label
_atom_site_fract_x
_atom_site_fract_y
_atom_site_fract_z
K1 0.250 0.250 0.250
K2 0.750 0.750 0.750
Li1 0.000 0.000 0.000
Nd1 0.500 0.500 0.500
F1 0.240 0.240 0.760
F2 0.240 0.760 0.240
F3 0.240 0.760 0.760
F4 0.760 0.240 0.240
F5 0.760 0.240 0.760
F6 0.760 0.760 0.240
# Relative energy among the computed polymorphs: 12 meV/atom
# ΔE_f (raw): -315.5 kJ/mol of atoms
# Total moment: 0.0 μB/cell

Entry 4:
# NaCaAg10, optimized geometry, DFT PBE
data_NaCaAg10
_cell_length_a 4.689
_cell_length_b 5.561
_cell_length_c 9.827
_cell_angle_alpha 90.00
_cell_angle_beta 90.00
_cell_angle_gamma 90.00
_symmetry_space_group_name_H-M 'P 1'
_symmetry_Int_Tables_number 1
_symmetry_space_group_name_Hall 'P 1'
loop_
_atom_site_label
_atom_site_fract_x
_atom_site_fract_y
_atom_site_fract_z
Na1 0.000 0.000 0.000
Ca1 0.000 0.500 0.500
Ag1 0.000 0.000 0.332
Ag2 0.000 0.000 0.668
Ag3 0.000 0.500 0.165
Ag4 0.000 0.500 0.835
Ag5 0.500 0.000 0.500
Ag6 0.500 0.252 0.252
Ag7 0.500 0.252 0.748
Ag8 0.500 0.500 0.000
Ag9 0.500 0.748 0.252
Ag10 0.500 0.748 0.748
# Energy of formation: -0.076 eV/atom
# Total moment: 0.0 μB/cell

Entry 5:
# LiHgAsO4, optimized geometry, DFT PBE
data_LiHgAsO4
_cell_length_a 5.429
_cell_length_b 5.429
_cell_length_c 5.429
_cell_angle_alpha 122.23
_cell_angle_beta 122.23
_cell_angle_gamma 86.19
_symmetry_space_group_name_H-M 'P 1'
_symmetry_Int_Tables_number 1
_symmetry_space_group_name_Hall 'P 1'
loop_
_atom_site_label
_atom_site_fract_x
_atom_site_fract_y
_atom_site_fract_z
Li1 0.000 0.000 0.000
Hg1 0.500 0.500 0.000
As1 0.750 0.250 0.500
O1 0.042 0.586 0.883
O2 0.414 0.297 0.455
O3 0.703 0.158 0.117
O4 0.842 0.958 0.545
# ΔE_f (raw): -117.8 kJ/mol of atoms
# Total moment: 0.0 μB/cell

Entry 6:
# Th6RuSe5, optimized geometry, DFT PBE
data_Th6RuSe5
_cell_length_a 7.305
_cell_length_b 7.305
_cell_length_c 7.296
_cell_angle_alpha 99.74
_cell_angle_beta 99.74
_cell_angle_gamma 119.58
_symmetry_space_group_name_H-M 'P 1'
_symmetry_Int_Tables_number 1
_symmetry_space_group_name_Hall 'P 1'
loop_
_atom_site_label
_atom_site_fract_x
_atom_site_fract_y
_atom_site_fract_z
Th1 0.079 0.395 0.736
Th2 0.237 0.237 0.251
Th3 0.395 0.079 0.736
Th4 0.605 0.921 0.264
Th5 0.763 0.763 0.749
Th6 0.921 0.605 0.264
Ru1 0.000 0.000 0.500
Se1 0.176 0.824 0.000
Se2 0.335 0.665 0.500
Se3 0.500 0.500 0.000
Se4 0.665 0.335 0.500
Se5 0.824 0.176 0.000
# ΔE_f (raw): -134.2 kJ/mol of atoms
# Total moment: 0.0 μB/cell

Entry 7:
# Tc2NiRhN, optimized geometry, DFT PBE
data_Tc2NiRhN
_cell_length_a 3.994
_cell_length_b 3.994
_cell_length_c 3.896
_cell_angle_alpha 90.00
_cell_angle_beta 90.00
_cell_angle_gamma 90.00
_symmetry_space_group_name_H-M 'P 1'
_symmetry_Int_Tables_number 1
_symmetry_space_group_name_Hall 'P 1'
loop_
_atom_site_label
_atom_site_fract_x
_atom_site_fract_y
_atom_site_fract_z
Tc1 0.000 0.500 0.000
Tc2 0.500 0.000 0.000
Ni1 0.000 0.000 0.500
Rh1 0.500 0.500 0.500
N1 0.000 0.000 0.000
# ΔE_f (raw): 10.0 kJ/mol of atoms
# Total moment: 0.8 μB/cell

Entry 8:
# LiNd2Re2N6, optimized geometry, DFT PBE
data_LiNd2Re2N6
_cell_length_a 6.836
_cell_length_b 6.836
_cell_length_c 6.836
_cell_angle_alpha 48.54
_cell_angle_beta 48.54
_cell_angle_gamma 48.54
_symmetry_space_group_name_H-M 'P 1'
_symmetry_Int_Tables_number 1
_symmetry_space_group_name_Hall 'P 1'
loop_
_atom_site_label
_atom_site_fract_x
_atom_site_fract_y
_atom_site_fract_z
Li1 0.000 0.000 0.000
Nd1 0.207 0.207 0.207
Nd2 0.793 0.793 0.793
Re1 0.397 0.397 0.397
Re2 0.603 0.603 0.603
N1 0.225 0.741 0.741
N2 0.259 0.259 0.775
N3 0.259 0.775 0.259
N4 0.741 0.225 0.741
N5 0.741 0.741 0.225
N6 0.775 0.259 0.259
# ΔE_f (raw): -41.0 kJ/mol of atoms
# Total moment: 0.0 μB/cell

Entry 9:
# FePt2Br, optimized geometry, DFT PBE
data_FePt2Br
_cell_length_a 4.977
_cell_length_b 4.977
_cell_length_c 2.859
_cell_angle_alpha 90.00
_cell_angle_beta 90.00
_cell_angle_gamma 111.49
_symmetry_space_group_name_H-M 'P 1'
_symmetry_Int_Tables_number 1
_symmetry_space_group_name_Hall 'P 1'
loop_
_atom_site_label
_atom_site_fract_x
_atom_site_fract_y
_atom_site_fract_z
Fe1 0.000 0.000 0.000
Pt1 0.000 0.500 0.500
Pt2 0.500 0.000 0.500
Br1 0.500 0.500 0.000
# Relative energy among the computed polymorphs: 414 meV/atom
# ΔE_f (raw): 56.7 kJ/mol of atoms
# Total moment: 3.7 μB/cell

Entry 10:
# Pm3Sc2Pb3, optimized geometry, DFT PBE
data_Pm3Sc2Pb3
_cell_length_a 9.066
_cell_length_b 9.066
_cell_length_c 6.471
_cell_angle_alpha 90.00
_cell_angle_beta 90.00
_cell_angle_gamma 120.00
_symmetry_space_group_name_H-M 'P 1'
_symmetry_Int_Tables_number 1
_symmetry_space_group_name_Hall 'P 1'
loop_
_atom_site_label
_atom_site_fract_x
_atom_site_fract_y
_atom_site_fract_z
Pm1 0.000 0.241 0.250
Pm2 0.000 0.759 0.750
Pm3 0.241 0.000 0.250
Pm4 0.241 0.241 0.750
Pm5 0.759 0.000 0.750
Pm6 0.759 0.759 0.250
Sc1 0.333 0.667 0.000
Sc2 0.333 0.667 0.500
Sc3 0.667 0.333 0.000
Sc4 0.667 0.333 0.500
Pb1 0.000 0.401 0.750
Pb2 0.000 0.599 0.250
Pb3 0.401 0.000 0.750
Pb4 0.401 0.401 0.250
Pb5 0.599 0.000 0.250
Pb6 0.599 0.599 0.750
# Relative energy among the computed polymorphs: 0 meV/atom
# Energy of formation: -0.519 eV/atom
# Total moment: 0.0 μB/cell

Entry 11:
# Cs4H2Cl5, optimized geometry, DFT PBE
data_Cs4H2Cl5
_cell_length_a 8.493
_cell_length_b 4.769
_cell_length_c 12.626
_cell_angle_alpha 90.00
_cell_angle_beta 100.44
_cell_angle_gamma 90.00
_symmetry_space_group_name_H-M 'P 1'
_symmetry_Int_Tables_number 1
_symmetry_space_group_name_Hall 'P 1'
loop_
_atom_site_label
_atom_site_fract_x
_atom_site_fract_y
_atom_site_fract_z
Cs1 0.227 0.000 0.137
Cs2 0.256 0.000 0.608
Cs3 0.744 0.000 0.392
Cs4 0.773 0.000 0.863
H1 0.297 0.500 0.866
H2 0.703 0.500 0.134
Cl1 0.000 0.500 0.500
Cl2 0.142 0.500 0.914
Cl3 0.453 0.500 0.812
Cl4 0.547 0.500 0.188
Cl5 0.858 0.500 0.086
# Raw total energy: -32.95 eV per formula unit
# Total moment: 0.0 μB/cell

Entry 12:
# SrZrOs2C, optimized geometry, DFT PBE
data_SrZrOs2C
_cell_length_a 4.152
_cell_length_b 4.152
_cell_length_c 4.902
_cell_angle_alpha 90.00
_cell_angle_beta 90.00
_cell_angle_gamma 90.00
_symmetry_space_group_name_H-M 'P 1'
_symmetry_Int_Tables_number 1
_symmetry_space_group_name_Hall 'P 1'
loop_
_atom_site_label
_atom_site_fract_x
_atom_site_fract_y
_atom_site_fract_z
Sr1 0.000 0.000 0.000
Zr1 0.500 0.500 0.000
Os1 0.000 0.500 0.500
Os2 0.500 0.000 0.500
C1 0.000 0.000 0.500
# Energy of formation: 0.603 eV/atom
# Total moment: 0.0 μB/cell

Entry 13:
# BC2, optimized geometry, DFT PBE
data_BC2
_cell_length_a 4.440
_cell_length_b 4.440
_cell_length_c 8.009
_cell_angle_alpha 118.98
_cell_angle_beta 118.98
_cell_angle_gamma 33.39
_symmetry_space_group_name_H-M 'P 1'
_symmetry_Int_Tables_number 1
_symmetry_space_group_name_Hall 'P 1'
loop_
_atom_site_label
_atom_site_fract_x
_atom_site_fract_y
_atom_site_fract_z
B1 0.000 0.000 0.000
B2 0.545 0.545 0.871
B3 0.807 0.807 0.062
B4 0.860 0.860 0.541
C1 0.027 0.027 0.504
C2 0.164 0.164 0.229
C3 0.208 0.208 0.708
C4 0.327 0.327 0.190
C5 0.364 0.364 0.666
C6 0.515 0.515 0.386
C7 0.666 0.666 0.335
C8 0.726 0.726 0.828
# Relative energy among the computed polymorphs: 102 meV/atom
# Energy of formation: 0.342 eV/atom
# Total moment: 0.0 μB/cell

Entry 14:
# MgIn2W, optimized geometry, DFT PBE
data_MgIn2W
_cell_length_a 5.495
_cell_length_b 5.495
_cell_length_c 5.495
_cell_angle_alpha 136.47
_cell_angle_beta 136.47
_cell_angle_gamma 63.25
_symmetry_space_group_name_H-M 'P 1'
_symmetry_Int_Tables_number 1
_symmetry_space_group_name_Hall 'P 1'
loop_
_atom_site_label
_atom_site_fract_x
_atom_site_fract_y
_atom_site_fract_z
Mg1 0.000 0.000 0.000
In1 0.250 0.750 0.500
In2 0.500 0.500 0.000
W1 0.750 0.250 0.500
# Energy of formation: 0.384 eV/atom
# Total moment: 0.0 μB/cell

Entry 15:
# HfAlS2, optimized geometry, DFT PBE
data_HfAlS2
_cell_length_a 6.629
_cell_length_b 6.629
_cell_length_c 6.629
_cell_angle_alpha 129.44
_cell_angle_beta 129.44
_cell_angle_gamma 74.30
_symmetry_space_group_name_H-M 'P 1'
_symmetry_Int_Tables_number 1
_symmetry_space_group_name_Hall 'P 1'
loop_
_atom_site_label
_atom_site_fract_x
_atom_site_fract_y
_atom_site_fract_z
Hf1 0.000 0.000 0.000
Hf2 0.750 0.250 0.500
Al1 0.250 0.750 0.500
Al2 0.500 0.500 0.000
S1 0.155 0.625 0.030
S2 0.375 0.405 0.530
S3 0.595 0.125 0.970
S4 0.875 0.845 0.470
# ΔE_f (raw): -52.1 kJ/mol of atoms
# Total moment: 0.0 μB/cell

Entry 16:
# Pm3CuHg2, optimized geometry, DFT PBE
data_Pm3CuHg2
_cell_length_a 3.689
_cell_length_b 3.689
_cell_length_c 11.477
_cell_angle_alpha 90.00
_cell_angle_beta 90.00
_cell_angle_gamma 90.00
_symmetry_space_group_name_H-M 'P 1'
_symmetry_Int_Tables_number 1
_symmetry_space_group_name_Hall 'P 1'
loop_
_atom_site_label
_atom_site_fract_x
_atom_site_fract_y
_atom_site_fract_z
Pm1 0.000 0.000 0.000
Pm2 0.000 0.000 0.352
Pm3 0.000 0.000 0.648
Cu1 0.500 0.500 0.500
Hg1 0.500 0.500 0.175
Hg2 0.500 0.500 0.825
# Relative energy among the computed polymorphs: 0 meV/atom
# Energy of formation: -0.362 eV/atom
# Total moment: 0.2 μB/cell

Entry 17:
# Ac2NpNiS5, optimized geometry, DFT PBE
data_Ac2NpNiS5
_cell_length_a 8.645
_cell_length_b 8.645
_cell_length_c 12.380
_cell_angle_alpha 90.00
_cell_angle_beta 90.00
_cell_angle_gamma 153.09
_symmetry_space_group_name_H-M 'P 1'
_symmetry_Int_Tables_number 1
_symmetry_space_group_name_Hall 'P 1'
loop_
_atom_site_label
_atom_site_fract_x
_atom_site_fract_y
_atom_site_fract_z
Ac1 0.118 0.882 0.500
Ac2 0.119 0.881 0.146
Ac3 0.881 0.119 0.646
Ac4 0.882 0.118 0.000
Np1 0.178 0.822 0.826
Np2 0.822 0.178 0.326
Ni1 0.443 0.557 0.222
Ni2 0.557 0.443 0.722
S1 0.024 0.976 0.803
S2 0.304 0.696 0.480
S3 0.312 0.688 0.175
S4 0.342 0.658 0.823
S5 0.496 0.504 0.557
S6 0.504 0.496 0.057
S7 0.658 0.342 0.323
S8 0.688 0.312 0.675
S9 0.696 0.304 0.980
S10 0.976 0.024 0.303
# ΔE_f (raw): -157.8 kJ/mol of atoms
# Total moment: 5.9 μB/cell

Entry 18:
# CdAgAu2, optimized geometry, DFT PBE
data_CdAgAu2
_cell_length_a 6.087
_cell_length_b 6.087
_cell_length_c 6.087
_cell_angle_alpha 102.24
_cell_angle_beta 102.24
_cell_angle_gamma 125.17
_symmetry_space_group_name_H-M 'P 1'
_symmetry_Int_Tables_number 1
_symmetry_space_group_name_Hall 'P 1'
loop_
_atom_site_label
_atom_site_fract_x
_atom_site_fract_y
_atom_site_fract_z
Cd1 0.000 0.000 0.000
Cd2 0.750 0.250 0.500
Ag1 0.250 0.750 0.500
Ag2 0.500 0.500 0.000
Au1 0.127 0.625 0.002
Au2 0.375 0.377 0.502
Au3 0.623 0.125 0.998
Au4 0.875 0.873 0.498
# Energy of formation: 0.051 eV/atom
# Total moment: 0.0 μB/cell

Entry 19:
# Zr2WAu, optimized geometry, DFT PBE
data_Zr2WAu
_cell_length_a 4.760
_cell_length_b 4.760
_cell_length_c 4.760
_cell_angle_alpha 60.00
_cell_angle_beta 60.00
_cell_angle_gamma 60.00
_symmetry_space_group_name_H-M 'P 1'
_symmetry_Int_Tables_number 1
_symmetry_space_group_name_Hall 'P 1'
loop_
_atom_site_label
_atom_site_fract_x
_atom_site_fract_y
_atom_site_fract_z
Zr1 0.000 0.000 0.000
Zr2 0.250 0.250 0.250
W1 0.750 0.750 0.750
Au1 0.500 0.500 0.500
# Relative energy among the computed polymorphs: 397 meV/atom
# Energy of formation: 0.155 eV/atom
# Total moment: 0.0 μB/cell

Entry 20:
# InHg6Pb4, optimized geometry, DFT PBE
data_InHg6Pb4
_cell_length_a 9.911
_cell_length_b 9.911
_cell_length_c 9.911
_cell_angle_alpha 145.13
_cell_angle_beta 144.91
_cell_angle_gamma 50.31
_symmetry_space_group_name_H-M 'P 1'
_symmetry_Int_Tables_number 1
_symmetry_space_group_name_Hall 'P 1'
loop_
_atom_site_label
_atom_site_fract_x
_atom_site_fract_y
_atom_site_fract_z
In1 0.000 0.000 0.000
Hg1 0.000 0.500 0.500
Hg2 0.190 0.181 0.615
Hg3 0.434 0.819 0.010
Hg4 0.500 0.000 0.500
Hg5 0.566 0.576 0.385
Hg6 0.810 0.424 0.990
Pb1 0.003 0.593 0.983
Pb2 0.391 0.407 0.410
Pb3 0.609 0.020 0.017
Pb4 0.997 0.980 0.590
# Energy of formation: 0.060 eV/atom
# Total moment: 0.0 μB/cell